! Er2ZnB2Ru5 | Alexandria via LeMat-Bulk | PBE | optimized geometry; values from VASP
! - Fermi-level density of states (states/eV/cell) = 23.03
! - formation energy from the elements (eV per atom) = -0.40
! - crystal system = tetragonal
! - symmetry = P4/mbm (127)
&SYSTEM
  ibrav = 0, nat = 20, ntyp = 4
/
ATOMIC_SPECIES
Er 167.26 Er.upf
Zn 65.41 Zn.upf
B 10.81 B.upf
Ru 101.07 Ru.upf
CELL_PARAMETERS angstrom
3.115 0.000 0.000
0.000 9.536 0.000
0.000 0.000 9.536
ATOMIC_POSITIONS angstrom
Er 0.000 6.443 1.675
Er 0.000 3.093 7.861
Er 0.000 1.675 3.093
Er 0.000 7.861 6.443
Zn 0.000 0.000 0.000
Zn 0.000 4.768 4.768
B 0.000 1.190 5.958
B 0.000 8.346 3.578
B 0.000 5.958 8.346
B 0.000 3.578 1.190
Ru 1.558 2.080 0.669
Ru 1.558 7.456 8.867
Ru 1.558 0.669 7.456
Ru 1.558 6.848 4.099
Ru 1.558 8.867 2.080
Ru 1.558 2.688 5.437
Ru 1.558 5.437 6.848
Ru 1.558 4.099 2.688
Ru 1.558 4.768 0.000
Ru 1.558 0.000 4.768